No. 1
DFT (GGA-PBE) results for a relaxed structure of Ni2PdAuN.

Values from the calculation:
The mass density is 11.59 g cm⁻³. Its total magnetic moment is 0.501 μB/cell. The calculation puts the raw formation energy at 0.087 eV per atom. Its symmetry is No. 123. The value obtained for the density of states at the Fermi level is 1.097 states/eV/atom.

Cell: 3.837 3.837 4.231 Å, 90.00 90.00 90.00°
Site moments in Bohr magnetons follow the coordinates.
Atoms (fractional coordinates):
Ni1 0.000 0.500 0.000  0.20
Ni2 0.500 0.000 0.000  0.20
Au1 0.500 0.500 0.500  0.00
Pd1 0.000 0.000 0.500  0.04
N1 0.000 0.000 0.000  0.04

No. 2
DFT (GGA-PBE) results for a relaxed structure of PmNi2Au2N.

Values from the calculation:
The mass density is 10.74 g cm⁻³. Its total magnetic moment is 1.201 μB/cell. The calculation puts the raw formation energy at -0.279 eV per atom. Its symmetry is No. 139. The value obtained for the density of states at the Fermi level is 0.766 states/eV/atom.

Cell: 3.845 3.845 7.520 Å, 104.81 104.81 90.00°
Site moments in Bohr magnetons follow the coordinates.
Atoms (fractional coordinates):
Pm1 0.500 0.500 0.000  0.01
Ni1 0.876 0.876 0.752  0.48
Ni2 0.124 0.124 0.248  0.48
Au1 0.250 0.750 0.500  0.04
Au2 0.750 0.250 0.500  0.04
N1 0.000 0.000 0.000  0.14